Entry 1:
# Ca2ZnGe4Pd3, optimized geometry, DFT PBE-GGA
# - total magnetization (μB/f.u.) = 0.0
# - energy (eV/atom) = -4.533
# - ΔH_f (0 K) (meV per atom) = -600
# - crystal system = tetragonal
data_Ca2ZnGe4Pd3
_cell_length_a 4.254
_cell_length_b 4.254
_cell_length_c 10.664
_cell_angle_alpha 90.00
_cell_angle_beta 90.00
_cell_angle_gamma 90.00
_symmetry_space_group_name_H-M 'P -4 m 2'
_symmetry_Int_Tables_number 115
loop_
_symmetry_equiv_pos_as_xyz
'x,y,z'
'y,-x,-z'
'-x,-y,z'
'-y,x,-z'
'-x,y,z'
'-y,-x,-z'
'x,-y,z'
'y,x,-z'
loop_
_atom_site_label
_atom_site_type_symbol
_atom_site_fract_x
_atom_site_fract_y
_atom_site_fract_z
_atom_site_occupancy
Ca1 Ca 0.000 0.500 0.248 1
Zn1 Zn 0.500 0.500 0.000 1
Ge1 Ge 0.000 0.000 0.500 1
Ge2 Ge 0.000 0.500 0.864 1
Ge3 Ge 0.500 0.500 0.500 1
Pd1 Pd 0.000 0.000 0.000 1
Pd2 Pd 0.000 0.500 0.632 1

Entry 2:
# Cd2WCl, optimized geometry, DFT PBE-GGA
# - total magnetization (μB/f.u.) = 0.7
# - energy (eV/atom) = -3.587
# - crystal system = orthorhombic
# - energy relative to the lowest polymorph listed for this composition (eV/atom) = 0.4330
# - raw formation energy (eV per atom) = 0.5707
data_Cd2WCl
_cell_length_a 2.807
_cell_length_b 4.316
_cell_length_c 14.137
_cell_angle_alpha 90.00
_cell_angle_beta 90.00
_cell_angle_gamma 90.00
_symmetry_space_group_name_H-M 'I m m m'
_symmetry_Int_Tables_number 71
_symmetry_space_group_name_Hall '-I 2 2'
loop_
_atom_site_label
_atom_site_type_symbol
_atom_site_fract_x
_atom_site_fract_y
_atom_site_fract_z
_atom_site_occupancy
Cd1 Cd 0.000 0.000 0.188 1
W1 W 0.000 0.500 0.500 1
Cl1 Cl 0.000 0.500 0.000 1

Entry 3:
# OsICl3, optimized geometry, DFT PBE-GGA
# - total magnetization (μB/f.u.) = 4.8
# - energy (eV/atom) = -2.192
# - crystal system = cubic
# - energy relative to the lowest polymorph listed for this composition (eV/atom) = 1.6760
# - raw formation energy (eV per atom) = 1.4718
data_OsICl3
_cell_length_a 5.536
_cell_length_b 5.536
_cell_length_c 5.536
_cell_angle_alpha 90.00
_cell_angle_beta 90.00
_cell_angle_gamma 90.00
_symmetry_space_group_name_H-M 'P m -3 m'
_symmetry_Int_Tables_number 221
_symmetry_space_group_name_Hall '-P 4 2 3'
loop_
_atom_site_label
_atom_site_type_symbol
_atom_site_fract_x
_atom_site_fract_y
_atom_site_fract_z
_atom_site_occupancy
Os1 Os 0.000 0.000 0.000 1
I1 I 0.500 0.500 0.500 1
Cl1 Cl 0.000 0.500 0.500 1

Entry 4:
# VAs2Pd, optimized geometry, DFT PBE-GGA
# - total magnetization (μB/f.u.) = 0.0
# - energy (eV/atom) = -6.056
# - ΔH_f (0 K) (meV per atom) = -154
# - crystal system = trigonal
data_VAs2Pd
_cell_length_a 3.0129
_cell_length_b 3.0129
_cell_length_c 24.0761
_cell_angle_alpha 90.00
_cell_angle_beta 90.00
_cell_angle_gamma 120.00
_symmetry_space_group_name_H-M 'R -3 m'
_symmetry_Int_Tables_number 166
_symmetry_space_group_name_Hall '-R 3 2"'
loop_
_atom_site_label
_atom_site_type_symbol
_atom_site_fract_x
_atom_site_fract_y
_atom_site_fract_z
_atom_site_occupancy
V1 V 0.0000 0.0000 0.0000 1
As1 As 0.0000 0.0000 0.2553 1
Pd1 Pd 0.0000 0.0000 0.5000 1